1.
SmY7Er5 | PBE | optimized geometry

Structure (POSCAR):
```
SmY7Er5
1.0
-3.334 5.577 5.779
3.334 -5.577 5.779
3.334 5.577 -5.779
Sm Y Er
1 7 5
Cartesian
0.000 0.000 0.000 Sm
3.334 1.885 0.688 Y
0.000 0.000 3.503 Y
0.000 3.634 0.674 Y
0.000 0.000 7.098 Y
0.000 7.521 0.674 Y
0.000 5.577 3.534 Y
0.000 3.692 6.467 Y
1.557 2.553 -2.231 Er
5.112 2.553 -2.231 Er
3.334 0.000 3.625 Er
-1.777 3.024 3.548 Er
1.777 3.024 3.548 Er
```

* space group: No. 44
* total magnetization: 0.00 μB/f.u.
* energy relative to the elements: 243 meV/atom
* E: -5.3558 eV/atom


2.
HoTmSnRu | PBE | optimized geometry

Structure (POSCAR):
```
HoTmSnRu
1.0
0.000 3.554 3.554
3.554 0.000 3.554
3.554 3.554 0.000
Ho Tm Sn Ru
1 1 1 1
Cartesian
0.000 0.000 0.000 Ho
3.554 3.554 3.554 Tm
1.777 1.777 1.777 Sn
5.331 5.331 5.331 Ru
```

* space group: No. 216
* distance to the lowest polymorph of the same formula: 148.2 meV per atom
* total magnetization: 0.00 μB/f.u.
* energy relative to the elements: -434 meV/atom
* E: -6.0163 eV/atom


3.
Sc2ZnAg | PBE | optimized geometry

Structure (POSCAR):
```
Sc2ZnAg
1.0
-1.644 2.414 4.995
1.644 -2.414 4.995
1.644 2.414 -4.995
Sc Zn Ag
2 1 1
Cartesian
0.000 0.000 0.000 Sc
0.000 2.414 2.194 Sc
1.644 0.000 2.493 Zn
0.000 0.000 4.628 Ag
```

* space group: No. 44
* total magnetization: 0.73 μB/f.u.
* energy relative to the elements: -196 meV/atom
* E: -4.3933 eV/atom